(1)
Material: HoTm2In
Method: DFT, PBE-GGA
State: relaxed

Its density of states at the Fermi level is 1.35 states/eV per atom. Its crystal system is trigonal. The value obtained for the density is 8.49 g/cm3. The energy above the most stable polymorph in this dataset is 350 meV/atom.

abc: 11.9482 11.9482 11.9482
angles: 16.55 16.55 16.55
Fractional positions:
Ho 0.0000 0.0000 0.0000
Tm 0.0953 0.0953 0.0953
Tm 0.9047 0.9047 0.9047
In 0.5000 0.5000 0.5000


(2)
Material: BeNiIr
Method: DFT, PBE-GGA
State: relaxed

Its density of states at the Fermi level is 1.15 states/eV per atom. Its crystal system is cubic. The value obtained for the density is 10.29 g/cm3. The energy above the most stable polymorph in this dataset is 634 meV/atom.

abc: 3.8996 3.8996 3.8996
angles: 60.00 60.00 60.00
Fractional positions:
Be 0.0000 0.0000 0.0000
Ni 0.5000 0.5000 0.5000
Ir 0.2500 0.2500 0.2500


(3)
Material: RbNa2GaAu
Method: DFT, PBE-GGA
State: relaxed

Its density of states at the Fermi level is 0.50 states/eV per atom. Its crystal system is tetragonal. The value obtained for the density is 3.95 g/cm3. The energy above the most stable polymorph in this dataset is 0 meV/atom.

abc: 5.8277 5.8277 4.9273
angles: 90.00 90.00 90.00
Fractional positions:
Rb 0.0000 0.0000 0.0000
Na 0.0000 0.5000 0.5000
Na 0.5000 0.0000 0.5000
Ga 0.5000 0.5000 0.0000
Au 0.5000 0.5000 0.5000


(4)
Material: BaSbRu2
Method: DFT, PBE-GGA
State: relaxed

Its density of states at the Fermi level is 1.47 states/eV per atom. The formation energy (no corrections) comes out at 0.71 eV/atom. Its crystal system is tetragonal. The value obtained for the density is 9.02 g/cm3.

abc: 5.8966 5.8966 5.8966
angles: 139.73 139.73 58.26
Fractional positions:
Ba 0.0000 0.0000 0.0000
Sb 0.7500 0.2500 0.5000
Ru 0.2500 0.7500 0.5000
Ru 0.5000 0.5000 0.0000


(5)
Material: RbNaZn2Pd
Method: DFT, PBE-GGA
State: relaxed

Its density of states at the Fermi level is 0.76 states/eV per atom. Its crystal system is tetragonal. The value obtained for the density is 2.47 g/cm3. The energy above the most stable polymorph in this dataset is 1210 meV/atom.

abc: 5.9468 5.9468 6.5602
angles: 90.00 90.00 90.00
Fractional positions:
Rb 0.0000 0.0000 0.0000
Na 0.0000 0.0000 0.5000
Zn 0.0000 0.5000 0.0000
Zn 0.5000 0.0000 0.0000
Pd 0.5000 0.5000 0.5000


(6)
Material: Tl2OsF6
Method: DFT, PBE-GGA
State: relaxed

Its density of states at the Fermi level is 0.77 states/eV per atom. The formation energy (no corrections) comes out at -1.78 eV/atom. Its crystal system is trigonal. The value obtained for the density is 7.41 g/cm3. The energy above the most stable polymorph in this dataset is 0 meV/atom.

abc: 6.1018 6.1018 4.9554
angles: 90.00 90.00 120.00
Fractional positions:
Tl 0.3333 0.6667 0.2085
Tl 0.6667 0.3333 0.7915
Os 0.0000 0.0000 0.5000
F 0.1564 0.3128 0.7197
F 0.1564 0.8436 0.7197
F 0.3128 0.1564 0.2803
F 0.6872 0.8436 0.7197
F 0.8436 0.1564 0.2803
F 0.8436 0.6872 0.2803


(7)
Material: YPuFeCu
Method: DFT, PBE-GGA
State: relaxed

Its density of states at the Fermi level is 2.65 states/eV per atom. Its crystal system is cubic. The value obtained for the density is 9.42 g/cm3.

abc: 4.8314 4.8314 4.8314
angles: 60.00 60.00 60.00
Fractional positions:
Y 0.0000 0.0000 0.0000
Pu 0.5000 0.5000 0.5000
Fe 0.2500 0.2500 0.2500
Cu 0.7500 0.7500 0.7500


(8)
Material: Rb2YTiS4
Method: DFT, PBE-GGA
State: relaxed

Its density of states at the Fermi level is 0.65 states/eV per atom. The formation energy (no corrections) comes out at -1.41 eV/atom. Its crystal system is tetragonal. The value obtained for the density is 2.77 g/cm3.

abc: 7.0902 7.0902 7.0902
angles: 117.29 117.29 94.76
Fractional positions:
Rb 0.0000 0.0000 0.0000
Rb 0.7500 0.2500 0.5000
Y 0.2500 0.7500 0.5000
Ti 0.5000 0.5000 0.0000
S 0.2285 0.1487 0.6089
S 0.3805 0.7715 0.9202
S 0.5398 0.6195 0.3911
S 0.8513 0.4602 0.0798


Number 1: final energy -3.9748 eV/atom. Number 2: final energy -5.7670 eV/atom. Number 3: final energy -2.1315 eV/atom. Number 4: final energy -5.4383 eV/atom. Number 5: final energy -0.8886 eV/atom. Number 6: final energy -4.7968 eV/atom. Number 7: final energy -8.2481 eV/atom. Number 8: final energy -5.5098 eV/atom.